No. 1
Entry from Alexandria: crystalline BaLa2InRh at its relaxed geometry (PBE).

Unit cell a=5.9524 b=5.9524 c=6.3113 alpha=90.00 beta=90.00 gamma=90.00
Atoms (fractional coordinates):
Ba (0.0000, 0.0000, 0.0000)
La (0.0000, 0.5000, 0.5000)
La (0.5000, 0.0000, 0.5000)
In (0.0000, 0.0000, 0.5000)
Rh (0.5000, 0.5000, 0.0000)

Values from the calculation:
**Size of the total moment**: 0.00 Bohr magnetons per cell
**Crystal system**: tetragonal
**ΔH_f (0 K)**: 3.64 eV per formula unit
**ρ**: 4700 kg/m³

---

No. 2
Entry from Alexandria: crystalline Tm2MgAu3 at its relaxed geometry (PBE).

Unit cell a=4.9270 b=4.9270 c=12.0430 alpha=90.00 beta=90.00 gamma=120.00
Atoms (fractional coordinates):
Tm (0.0000, 0.0000, 0.0000)
Tm (0.0000, 0.0000, 0.5000)
Tm (0.3333, 0.6667, 0.1779)
Tm (0.6667, 0.3333, 0.8221)
Mg (0.3333, 0.6667, 0.6651)
Mg (0.6667, 0.3333, 0.3349)
Au (0.0000, 0.0000, 0.2510)
Au (0.0000, 0.0000, 0.7490)
Au (0.3333, 0.6667, 0.4223)
Au (0.3333, 0.6667, 0.9194)
Au (0.6667, 0.3333, 0.0806)
Au (0.6667, 0.3333, 0.5777)

Values from the calculation:
**Size of the total moment**: 0.00 Bohr magnetons per cell
**Crystal system**: trigonal
**ΔH_f (0 K)**: -4.92 eV per formula unit
**ρ**: 12502 kg/m³

---

No. 3
Entry from Alexandria: crystalline KPa2Te4 at its relaxed geometry (PBE).

Unit cell a=16.3904 b=16.3904 c=16.3904 alpha=15.25 beta=15.25 gamma=15.25
Atoms (fractional coordinates):
K (0.0000, 0.0000, 0.0000)
Pa (0.0910, 0.0910, 0.0910)
Pa (0.9090, 0.9090, 0.9090)
Te (0.2060, 0.2060, 0.2060)
Te (0.3849, 0.3849, 0.3849)
Te (0.6151, 0.6151, 0.6151)
Te (0.7940, 0.7940, 0.7940)

Values from the calculation:
**Raw formation energy**: -848 meV/atom
**Size of the total moment**: 3.02 Bohr magnetons per cell
**Crystal system**: trigonal
**ρ**: 6334 kg/m³

---

No. 4
Entry from Alexandria: crystalline CsMn2Au2 at its relaxed geometry (PBE).

Unit cell a=4.4799 b=4.4799 c=14.5294 alpha=90.00 beta=90.00 gamma=90.00
Atoms (fractional coordinates):
Cs (0.0000, 0.0000, 0.0000)
Cs (0.5000, 0.5000, 0.5000)
Mn (0.0000, 0.5000, 0.2500)
Mn (0.0000, 0.5000, 0.7500)
Mn (0.5000, 0.0000, 0.2500)
Mn (0.5000, 0.0000, 0.7500)
Au (0.0000, 0.0000, 0.3481)
Au (0.0000, 0.0000, 0.6519)
Au (0.5000, 0.5000, 0.1519)
Au (0.5000, 0.5000, 0.8481)

Values from the calculation:
**Size of the total moment**: 18.08 Bohr magnetons per cell
**Crystal system**: tetragonal
**ΔH_f (0 K)**: 1.25 eV per formula unit
**ρ**: 7252 kg/m³

---

No. 5
Entry from Alexandria: crystalline NaRhW2 at its relaxed geometry (PBE).

Unit cell a=6.3285 b=6.3285 c=6.3285 alpha=90.00 beta=90.00 gamma=90.00
Atoms (fractional coordinates):
Na (0.0000, 0.0000, 0.0000)
Na (0.0000, 0.5000, 0.5000)
Na (0.5000, 0.0000, 0.5000)
Na (0.5000, 0.5000, 0.0000)
Rh (0.0000, 0.0000, 0.5000)
Rh (0.0000, 0.5000, 0.0000)
Rh (0.5000, 0.0000, 0.0000)
Rh (0.5000, 0.5000, 0.5000)
W (0.2500, 0.2500, 0.2500)
W (0.2500, 0.2500, 0.7500)
W (0.2500, 0.7500, 0.2500)
W (0.2500, 0.7500, 0.7500)
W (0.7500, 0.2500, 0.2500)
W (0.7500, 0.2500, 0.7500)
W (0.7500, 0.7500, 0.2500)
W (0.7500, 0.7500, 0.7500)

Values from the calculation:
**Size of the total moment**: 0.00 Bohr magnetons per cell
**Crystal system**: cubic
**ΔH_f (0 K)**: 4.43 eV per formula unit
**ρ**: 12935 kg/m³

---

No. 6
Entry from Alexandria: crystalline La3N2F at its relaxed geometry (PBE).

Unit cell a=6.7562 b=6.7562 c=11.5670 alpha=90.00 beta=90.00 gamma=149.26
Atoms (fractional coordinates):
La (0.1022, 0.8978, 0.5898)
La (0.1022, 0.8978, 0.9102)
La (0.3799, 0.6201, 0.7500)
La (0.6201, 0.3799, 0.2500)
La (0.8978, 0.1022, 0.0898)
La (0.8978, 0.1022, 0.4102)
N (0.0122, 0.9878, 0.2500)
N (0.5000, 0.5000, 0.0000)
N (0.5000, 0.5000, 0.5000)
N (0.9878, 0.0122, 0.7500)
F (0.3002, 0.6998, 0.2500)
F (0.6998, 0.3002, 0.7500)

Values from the calculation:
**Raw formation energy**: -1672 meV/atom
**Size of the total moment**: 0.00 Bohr magnetons per cell
**Crystal system**: orthorhombic
**ρ**: 5706 kg/m³

---

Please write out number 2 again, unchanged.
Entry from Alexandria: crystalline Tm2MgAu3 at its relaxed geometry (PBE).

Unit cell a=4.9270 b=4.9270 c=12.0430 alpha=90.00 beta=90.00 gamma=120.00
Atoms (fractional coordinates):
Tm (0.0000, 0.0000, 0.0000)
Tm (0.0000, 0.0000, 0.5000)
Tm (0.3333, 0.6667, 0.1779)
Tm (0.6667, 0.3333, 0.8221)
Mg (0.3333, 0.6667, 0.6651)
Mg (0.6667, 0.3333, 0.3349)
Au (0.0000, 0.0000, 0.2510)
Au (0.0000, 0.0000, 0.7490)
Au (0.3333, 0.6667, 0.4223)
Au (0.3333, 0.6667, 0.9194)
Au (0.6667, 0.3333, 0.0806)
Au (0.6667, 0.3333, 0.5777)

Values from the calculation:
**Size of the total moment**: 0.00 Bohr magnetons per cell
**Crystal system**: trigonal
**ΔH_f (0 K)**: -4.92 eV per formula unit
**ρ**: 12502 kg/m³